*i*
! Li3HfS, optimized geometry, DFT GGA-PBE; values from VASP
! V: 90.29 Å³/cell
! Total magnetization: 0.01 μB/f.u.
&SYSTEM
  ibrav = 0, nat = 5, ntyp = 3
/
ATOMIC_SPECIES
Li 6.94 Li.upf
Hf 178.49 Hf.upf
S 32.06 S.upf
CELL_PARAMETERS angstrom
4.486 0.000 0.000
0.000 4.486 0.000
0.000 0.000 4.486
ATOMIC_POSITIONS angstrom
Li 0.000 0.000 2.243
Li 0.000 2.243 0.000
Li 2.243 0.000 0.000
Hf 2.243 2.243 2.243
S 0.000 0.000 0.000



*ii*
! Li3HfS, optimized geometry, DFT GGA-PBE; values from VASP
! V: 145.26 Å³/cell
! Total magnetization: 3.00 μB/f.u.
&SYSTEM
  ibrav = 0, nat = 5, ntyp = 3
/
ATOMIC_SPECIES
Li 6.94 Li.upf
Hf 178.49 Hf.upf
S 32.06 S.upf
CELL_PARAMETERS angstrom
5.257 0.000 0.000
0.000 5.257 0.000
0.000 0.000 5.257
ATOMIC_POSITIONS angstrom
Li 0.000 0.000 2.628
Li 0.000 2.628 0.000
Li 2.628 0.000 0.000
Hf 0.000 0.000 0.000
S 2.628 2.628 2.628



*i* has the most favorable energy; the next structure is 1171 meV/atom above.